# 1
The following is a DFT calculation (PBE-GGA) of a relaxed RbLi2Ge crystal.

The structure in CIF format:
```
data_RbLi2Ge
_chemical_formula_sum 'Rb1 Li2 Ge1'
_cell_length_a 4.620
_cell_length_b 4.620
_cell_length_c 6.782
_cell_angle_alpha 70.09
_cell_angle_beta 70.09
_cell_angle_gamma 60.00
_space_group_name_H-M_alt 'P 1'
_space_group_IT_number 1
loop_
_space_group_symop_operation_xyz
'x,y,z'
loop_
_atom_site_label
_atom_site_type_symbol
_atom_site_fract_x
_atom_site_fract_y
_atom_site_fract_z
Ge1 Ge 0.000 0.000 0.000
Li1 Li 0.683 0.683 0.951
Li2 Li 0.317 0.317 0.049
Rb1 Rb 0.500 0.500 0.500
```

Values from the calculation:
Formation enthalpy at 0 K: -117 meV/atom
Crystal system: trigonal

# 2
The following is a DFT calculation (PBE-GGA) of a relaxed NaPuRh4 crystal.

The structure in CIF format:
```
data_NaPuRh4
_chemical_formula_sum 'Na1 Pu1 Rh4'
_cell_length_a 5.290
_cell_length_b 5.290
_cell_length_c 5.290
_cell_angle_alpha 60.00
_cell_angle_beta 60.00
_cell_angle_gamma 60.00
_space_group_name_H-M_alt 'P 1'
_space_group_IT_number 1
loop_
_space_group_symop_operation_xyz
'x,y,z'
loop_
_atom_site_label
_atom_site_type_symbol
_atom_site_fract_x
_atom_site_fract_y
_atom_site_fract_z
Rh1 Rh 0.625 0.625 0.625
Rh2 Rh 0.625 0.625 0.124
Rh3 Rh 0.625 0.124 0.625
Rh4 Rh 0.124 0.625 0.625
Pu1 Pu 0.250 0.250 0.250
Na1 Na 0.000 0.000 0.000
```

Values from the calculation:
Formation enthalpy at 0 K: -200 meV/atom
Crystal system: cubic

# 3
The following is a DFT calculation (PBE-GGA) of a relaxed MoPb crystal.

The structure in CIF format:
```
data_MoPb
_chemical_formula_sum 'Mo8 Pb8'
_cell_length_a 12.297
_cell_length_b 12.297
_cell_length_c 3.339
_cell_angle_alpha 90.00
_cell_angle_beta 90.00
_cell_angle_gamma 90.00
_space_group_name_H-M_alt 'P 1'
_space_group_IT_number 1
loop_
_space_group_symop_operation_xyz
'x,y,z'
loop_
_atom_site_label
_atom_site_type_symbol
_atom_site_fract_x
_atom_site_fract_y
_atom_site_fract_z
Mo1 Mo 0.227 0.317 0.000
Mo2 Mo 0.683 0.227 0.000
Mo3 Mo 0.273 0.183 0.500
Mo4 Mo 0.773 0.683 0.000
Mo5 Mo 0.817 0.273 0.500
Mo6 Mo 0.317 0.773 0.000
Mo7 Mo 0.727 0.817 0.500
Mo8 Mo 0.183 0.727 0.500
Pb1 Pb 0.764 0.042 0.500
Pb2 Pb 0.458 0.264 0.000
Pb3 Pb 0.042 0.236 0.500
Pb4 Pb 0.236 0.958 0.500
Pb5 Pb 0.542 0.736 0.000
Pb6 Pb 0.736 0.458 0.000
Pb7 Pb 0.264 0.542 0.000
Pb8 Pb 0.958 0.764 0.500
```

Values from the calculation:
Formation enthalpy at 0 K: 880 meV/atom
Energy above the lowest structure with this stoichiometry: 554 meV per atom
Crystal system: tetragonal

# 4
The following is a DFT calculation (PBE-GGA) of a relaxed BeCrIr crystal.

The structure in CIF format:
```
data_BeCrIr
_chemical_formula_sum 'Be1 Cr1 Ir1'
_cell_length_a 3.902
_cell_length_b 3.902
_cell_length_c 3.902
_cell_angle_alpha 60.00
_cell_angle_beta 60.00
_cell_angle_gamma 60.00
_space_group_name_H-M_alt 'P 1'
_space_group_IT_number 1
loop_
_space_group_symop_operation_xyz
'x,y,z'
loop_
_atom_site_label
_atom_site_type_symbol
_atom_site_fract_x
_atom_site_fract_y
_atom_site_fract_z
Ir1 Ir 0.750 0.750 0.750
Cr1 Cr 0.500 0.500 0.500
Be1 Be 0.000 0.000 0.000
```

Values from the calculation:
Formation enthalpy at 0 K: 155 meV/atom
Energy above the lowest structure with this stoichiometry: 442 meV per atom
Crystal system: cubic

# 5
The following is a DFT calculation (PBE-GGA) of a relaxed ZnCu2Tc crystal.

The structure in CIF format:
```
data_ZnCu2Tc
_chemical_formula_sum 'Zn1 Cu2 Tc1'
_cell_length_a 2.555
_cell_length_b 3.838
_cell_length_c 5.375
_cell_angle_alpha 90.00
_cell_angle_beta 90.00
_cell_angle_gamma 90.00
_space_group_name_H-M_alt 'P 1'
_space_group_IT_number 1
loop_
_space_group_symop_operation_xyz
'x,y,z'
loop_
_atom_site_label
_atom_site_type_symbol
_atom_site_fract_x
_atom_site_fract_y
_atom_site_fract_z
Zn1 Zn 0.500 0.500 0.750
Cu1 Cu 0.000 0.000 0.502
Cu2 Cu 0.000 0.000 0.998
Tc1 Tc 0.500 0.500 0.250
```

Values from the calculation:
Formation enthalpy at 0 K: 155 meV/atom
Crystal system: orthorhombic

# 6
The following is a DFT calculation (PBE-GGA) of a relaxed ScFe2Mo crystal.

The structure in CIF format:
```
data_ScFe2Mo
_chemical_formula_sum 'Sc1 Fe2 Mo1'
_cell_length_a 5.047
_cell_length_b 5.047
_cell_length_c 5.047
_cell_angle_alpha 137.70
_cell_angle_beta 137.70
_cell_angle_gamma 61.36
_space_group_name_H-M_alt 'P 1'
_space_group_IT_number 1
loop_
_space_group_symop_operation_xyz
'x,y,z'
loop_
_atom_site_label
_atom_site_type_symbol
_atom_site_fract_x
_atom_site_fract_y
_atom_site_fract_z
Fe1 Fe 0.000 0.000 0.000
Fe2 Fe 0.250 0.750 0.500
Mo1 Mo 0.500 0.500 0.000
Sc1 Sc 0.750 0.250 0.500
```

Values from the calculation:
Formation enthalpy at 0 K: 238 meV/atom
Crystal system: tetragonal

# 7
The following is a DFT calculation (PBE-GGA) of a relaxed Sc3Cu2Ir2 crystal.

The structure in CIF format:
```
data_Sc3Cu2Ir2
_chemical_formula_sum 'Sc3 Cu2 Ir2'
_cell_length_a 4.540
_cell_length_b 4.535
_cell_length_c 7.693
_cell_angle_alpha 90.13
_cell_angle_beta 107.12
_cell_angle_gamma 120.06
_space_group_name_H-M_alt 'P 1'
_space_group_IT_number 1
loop_
_space_group_symop_operation_xyz
'x,y,z'
loop_
_atom_site_label
_atom_site_type_symbol
_atom_site_fract_x
_atom_site_fract_y
_atom_site_fract_z
Ir1 Ir 0.763 0.881 0.644
Ir2 Ir 0.237 0.119 0.356
Sc1 Sc 0.000 0.000 0.000
Sc2 Sc 0.479 0.239 0.719
Sc3 Sc 0.521 0.761 0.281
Cu1 Cu 0.216 0.608 0.825
Cu2 Cu 0.784 0.392 0.175
```

Values from the calculation:
Formation enthalpy at 0 K: -350 meV/atom
Crystal system: monoclinic

# 8
The following is a DFT calculation (PBE-GGA) of a relaxed Li2Ni2S crystal.

The structure in CIF format:
```
data_Li2Ni2S
_chemical_formula_sum 'Li2 Ni2 S1'
_cell_length_a 3.194
_cell_length_b 3.194
_cell_length_c 7.694
_cell_angle_alpha 78.02
_cell_angle_beta 78.02
_cell_angle_gamma 90.00
_space_group_name_H-M_alt 'P 1'
_space_group_IT_number 1
loop_
_space_group_symop_operation_xyz
'x,y,z'
loop_
_atom_site_label
_atom_site_type_symbol
_atom_site_fract_x
_atom_site_fract_y
_atom_site_fract_z
Ni1 Ni 0.250 0.750 0.500
Ni2 Ni 0.750 0.250 0.500
Li1 Li 0.589 0.589 0.821
Li2 Li 0.411 0.411 0.179
S1 S 0.000 0.000 0.000
```

Values from the calculation:
Energy relative to the elements, uncorrected: -0.0902 eV/atom
Energy above the lowest structure with this stoichiometry: 0 meV per atom
Crystal system: tetragonal

no.,calculated total energy (eV per atom)
1,-2.47
2,-7.71
3,-6.39
4,-7.25
5,-4.80
6,-8.28
7,-6.77
8,-3.99